# 1
A plane-wave DFT calculation with GGA-PBE was carried out for crystalline PmYSc2S6 at its relaxed geometry.

## Properties
- raw total energy (Ha/atom) = -0.251
- space-group type = R3
- ΔE_f (raw) (eV per atom) = -1.955

Geometry as POSCAR:
```
PmYSc2S6
1.0
3.3847 1.9542 5.9437
-3.3847 1.9542 5.9437
0.0000 -3.9083 5.9437
Pm Y Sc S
1 1 2 6
direct
0.0000 0.0000 0.0000
0.5059 0.5059 0.5059
0.2050 0.2050 0.2050
0.7075 0.7075 0.7075
0.0826 0.4313 0.8260
0.3394 0.9312 0.5691
0.4313 0.8260 0.0826
0.5691 0.3394 0.9312
0.8260 0.0826 0.4313
0.9312 0.5691 0.3394
```

---

# 2
A plane-wave DFT calculation with GGA-PBE was carried out for crystalline Zr2PaCo2 at its relaxed geometry.

## Properties
- calculated formation energy (kJ/mol of formula units) = -176
- raw total energy (Ha/atom) = -0.313
- space-group type = Immm

Geometry as POSCAR:
```
Zr2PaCo2
1.0
-1.7586 2.9479 4.4184
1.7586 -2.9479 4.4184
1.7586 2.9479 -4.4184
Zr Pa Co
2 1 2
direct
0.1989 0.1989 0.0000
0.8011 0.8011 0.0000
0.5000 0.0000 0.5000
0.2121 0.5000 0.7121
0.7879 0.5000 0.2879
```

---

# 3
A plane-wave DFT calculation with GGA-PBE was carried out for crystalline ZrI2N2 at its relaxed geometry.

## Properties
- raw total energy (Ha/atom) = -0.141
- ΔE to the lowest computed polymorph (eV per atom) = 1.233
- space-group type = P4/mmm
- ΔE_f (raw) (eV per atom) = 1.836

Geometry as POSCAR:
```
ZrI2N2
1.0
4.1693 0.0000 0.0000
0.0000 4.1693 0.0000
0.0000 0.0000 6.2943
Zr I N
1 2 2
direct
0.0000 0.0000 0.0000
0.5000 0.5000 0.0000
0.5000 0.5000 0.5000
0.0000 0.5000 0.5000
0.5000 0.0000 0.5000
```

---

# 4
A plane-wave DFT calculation with GGA-PBE was carried out for crystalline LiReBi2O8 at its relaxed geometry.

## Properties
- raw total energy (Ha/atom) = -0.236
- space-group type = P2/m
- ΔE_f (raw) (eV per atom) = -1.265

Geometry as POSCAR:
```
LiReBi2O8
1.0
4.9163 0.0000 0.0000
0.0000 6.8787 0.0000
-0.1622 0.0000 4.9192
Li Re Bi O
1 1 2 8
direct
0.0000 0.0000 0.0000
0.0000 0.5000 0.0000
0.5000 0.2418 0.5000
0.5000 0.7582 0.5000
0.1817 0.2994 0.8206
0.1817 0.7006 0.8206
0.2838 0.5000 0.2864
0.2959 0.0000 0.2976
0.7041 0.0000 0.7024
0.7162 0.5000 0.7136
0.8183 0.2994 0.1794
0.8183 0.7006 0.1794
```

---

# 5
A plane-wave DFT calculation with GGA-PBE was carried out for crystalline Er2Ga4Co3Cu at its relaxed geometry.

## Properties
- calculated formation energy (kJ/mol of formula units) = -377
- raw total energy (Ha/atom) = -0.186
- space-group type = P-4m2

Geometry as POSCAR:
```
Er2Ga4Co3Cu
1.0
3.8811 0.0000 0.0000
0.0000 3.8811 0.0000
0.0000 0.0000 10.7321
Er Ga Co Cu
2 4 3 1
direct
0.0000 0.5000 0.2356
0.5000 0.0000 0.7644
0.0000 0.0000 0.0000
0.0000 0.5000 0.6367
0.5000 0.0000 0.3633
0.5000 0.5000 0.0000
0.0000 0.5000 0.8593
0.5000 0.0000 0.1407
0.5000 0.5000 0.5000
0.0000 0.0000 0.5000
```

---

# 6
A plane-wave DFT calculation with GGA-PBE was carried out for crystalline Tm4TeAs2Se at its relaxed geometry.

## Properties
- raw total energy (Ha/atom) = -0.211
- space-group type = P2/m
- ΔE_f (raw) (eV per atom) = -1.522

Geometry as POSCAR:
```
Tm4TeAs2Se
1.0
7.1009 0.0000 0.0000
0.0000 4.0986 0.0000
-2.3715 0.0000 6.8010
Tm Te As Se
4 1 2 1
direct
0.2335 0.0000 0.2225
0.2497 0.5000 0.7712
0.7503 0.5000 0.2288
0.7665 0.0000 0.7775
0.5000 0.5000 0.5000
0.0000 0.5000 0.0000
0.5000 0.0000 0.0000
0.0000 0.0000 0.5000
```

---

# 7
A plane-wave DFT calculation with GGA-PBE was carried out for crystalline PmGaAg4 at its relaxed geometry.

## Properties
- calculated formation energy (kJ/mol of formula units) = -97
- raw total energy (Ha/atom) = -0.124
- ΔE to the lowest computed polymorph (eV per atom) = 0.000
- space-group type = F-43m

Geometry as POSCAR:
```
PmGaAg4
1.0
0.0000 3.9494 3.9494
3.9494 0.0000 3.9494
3.9494 3.9494 0.0000
Pm Ga Ag
1 1 4
direct
0.0000 0.0000 0.0000
0.2500 0.2500 0.2500
0.1258 0.6247 0.6247
0.6247 0.1258 0.6247
0.6247 0.6247 0.1258
0.6247 0.6247 0.6247
```

---

# 8
A plane-wave DFT calculation with GGA-PBE was carried out for crystalline TbHo3Au at its relaxed geometry.

## Properties
- calculated formation energy (kJ/mol of formula units) = -132
- raw total energy (Ha/atom) = -0.169
- space-group type = Pmmn

Geometry as POSCAR:
```
TbHo3Au
1.0
5.1676 0.0000 0.0000
0.0000 8.3721 0.0000
0.0000 0.0000 6.6740
Tb Ho Au
2 6 2
direct
0.2500 0.2500 0.0805
0.7500 0.7500 0.9195
0.2500 0.5484 0.7076
0.2500 0.7500 0.2245
0.2500 0.9516 0.7076
0.7500 0.0484 0.2924
0.7500 0.2500 0.7755
0.7500 0.4516 0.2924
0.2500 0.2500 0.5074
0.7500 0.7500 0.4926
```

---

# 9
A plane-wave DFT calculation with GGA-PBE was carried out for crystalline MgPd14Au at its relaxed geometry.

## Properties
- calculated formation energy (kJ/mol of formula units) = -192
- raw total energy (Ha/atom) = -0.183
- space-group type = Amm2

Geometry as POSCAR:
```
MgPd14Au
1.0
9.2353 0.0000 0.0000
0.0000 2.7904 4.8400
0.0000 -2.7904 4.8400
Mg Pd Au
1 14 1
direct
0.0000 0.0000 0.0000
0.0000 0.5005 0.9992
0.0000 0.9992 0.5005
0.2492 0.1652 0.1652
0.2506 0.1640 0.6667
0.2508 0.6662 0.6662
0.2506 0.6667 0.1640
0.5000 0.3314 0.3314
0.5000 0.3312 0.8318
0.5000 0.8313 0.8313
0.5000 0.8318 0.3312
0.7494 0.1640 0.6667
0.7492 0.6662 0.6662
0.7494 0.6667 0.1640
0.7508 0.1652 0.1652
0.0000 0.4999 0.4999
```

---

# 10
A plane-wave DFT calculation with GGA-PBE was carried out for crystalline Ba2ReF8 at its relaxed geometry.

## Properties
- raw total energy (Ha/atom) = -0.217
- space-group type = C2/m
- ΔE_f (raw) (eV per atom) = -3.071

Geometry as POSCAR:
```
Ba2ReF8
1.0
5.4377 -4.0653 0.0000
5.4377 4.0653 0.0000
-1.6520 0.0000 4.7310
Ba Re F
2 1 8
direct
0.1633 0.1633 0.3582
0.8367 0.8367 0.6418
0.5000 0.5000 0.0000
0.0884 0.0884 0.8061
0.2119 0.5496 0.7565
0.3849 0.3849 0.2311
0.4504 0.7881 0.2435
0.5496 0.2119 0.7565
0.6151 0.6151 0.7689
0.7881 0.4504 0.2435
0.9116 0.9116 0.1939
```

---

# 11
A plane-wave DFT calculation with GGA-PBE was carried out for crystalline ScP at its relaxed geometry.

## Properties
- calculated formation energy (kJ/mol of formula units) = -227
- raw total energy (Ha/atom) = -0.259
- space-group type = P-6m2

Geometry as POSCAR:
```
ScP
1.0
3.6863 0.0000 0.0000
-1.8431 3.1924 0.0000
0.0000 0.0000 3.3209
Sc P
1 1
direct
0.0000 0.0000 0.0000
0.6667 0.3333 0.5000
```

---

# 12
A plane-wave DFT calculation with GGA-PBE was carried out for crystalline K2ZrAlPt at its relaxed geometry.

## Properties
- calculated formation energy (kJ/mol of formula units) = 429
- raw total energy (Ha/atom) = -0.118
- space-group type = P4/mmm

Geometry as POSCAR:
```
K2ZrAlPt
1.0
6.2504 0.0000 0.0000
0.0000 6.2504 0.0000
0.0000 0.0000 4.6381
K Zr Al Pt
2 1 1 1
direct
0.0000 0.5000 0.0000
0.5000 0.0000 0.0000
0.0000 0.0000 0.5000
0.5000 0.5000 0.0000
0.5000 0.5000 0.5000
```